This record from Alexandria describes an optimized crystal structure of ZrBePb. The functional is PBE-GGA.

Results
The calculation puts the total energy at -5.29 eV per atom. The space-group type is P3m1, No. 156.

```
ZrBePb
1.0
4.1000 0.0000 0.0000
-2.0500 3.5507 0.0000
0.0000 0.0000 3.9874
Pb Be Zr
1 1 1
direct
0.6667 0.3333 0.2312
0.0000 0.0000 0.0606
0.3333 0.6667 0.7082
```

This record from Alexandria describes an optimized crystal structure of Zr2BePb. The functional is PBE-GGA.

Results
The calculation puts the total energy at -6.22 eV per atom. The space-group type is Amm2, No. 38.

```
Zr2BePb
1.0
-1.3317 -3.5583 0.6414
2.2898 -0.2832 3.1832
-2.8206 1.8896 4.6264
Pb Be Zr
1 1 2
direct
0.5000 0.5583 0.7581
0.0000 0.7109 0.4532
0.0000 0.9561 0.9632
0.5000 0.2747 0.3255
```

This record from Alexandria describes an optimized crystal structure of Zr2BePb. The functional is PBE-GGA.

Results
The calculation puts the total energy at -5.90 eV per atom. The space-group type is I-42d, No. 122.

```
Zr2BePb
1.0
-1.8873 -3.5192 6.4354
-5.7124 -3.4629 -3.5690
-2.0054 -5.7311 0.7345
Pb Be Zr
2 2 4
direct
0.0000 0.0000 0.0000
0.7500 0.2500 0.5000
0.5000 0.5000 0.0000
0.2500 0.7500 0.5000
0.5954 0.1250 0.2500
0.1546 0.6250 0.2500
0.3750 0.4046 0.7500
0.8750 0.8454 0.7500
```

This record from Alexandria describes an optimized crystal structure of Zr2BePb. The functional is PBE-GGA.

Results
The calculation puts the total energy at -5.93 eV per atom. The space-group type is P4mm, No. 99.

```
Zr2BePb
1.0
-0.1147 -0.6135 3.7213
-2.0537 -3.1125 -0.5764
5.0903 -3.2874 -0.3850
Pb Be Zr
1 1 2
direct
0.5000 0.5000 0.7523
0.0000 0.0000 0.4532
0.0000 0.0000 0.0214
0.5000 0.5000 0.2731
```

This record from Alexandria describes an optimized crystal structure of BePd4. The functional is PBE-GGA.

Results
The calculation puts the total energy at -4.87 eV per atom. The space-group type is Pm-3m, No. 221.

```
BePd4
1.0
4.2085 0.0000 0.0000
0.0000 4.2085 0.0000
0.0000 0.0000 4.2085
Be Pd
1 4
direct
0.5000 0.5000 0.5000
0.0000 0.0000 0.0000
0.5000 0.0000 0.5000
0.0000 0.5000 0.5000
0.5000 0.5000 0.0000
```

This record from Alexandria describes an optimized crystal structure of BePd3. The functional is PBE-GGA.

Results
The calculation puts the total energy at -5.16 eV per atom. The space-group type is Imm2, No. 44.

```
BePd3
1.0
-2.5489 -0.4870 -1.1935
-0.4586 -3.7703 2.5176
-0.3382 4.3689 2.3575
Be Pd
1 3
direct
0.0000 0.9905 0.0000
0.2944 0.6814 0.5888
0.5000 0.4021 0.0000
0.7056 0.0926 0.4112
```

This record from Alexandria describes an optimized crystal structure of Be4Pd. The functional is PBE-GGA.

Results
The calculation puts the total energy at -3.23 eV per atom. The space-group type is Pm-3m, No. 221.

```
Be4Pd
1.0
-1.3408 3.9451 -0.3408
-1.2940 -0.0964 3.9742
3.7424 1.3801 1.2520
Be Pd
4 1
direct
0.0000 0.0000 0.0000
0.5000 0.0000 0.5000
0.0000 0.5000 0.5000
0.5000 0.5000 0.0000
0.5000 0.5000 0.5000
```

This record from Alexandria describes an optimized crystal structure of Be2Pd3. The functional is PBE-GGA.

Results
The calculation puts the total energy at -5.04 eV per atom. The space-group type is C2/c, No. 15.

```
Be2Pd3
1.0
4.9290 0.2013 -0.5061
2.6395 4.1764 -0.4271
1.9961 1.0320 5.9590
Be Pd
4 6
direct
0.7834 0.9943 0.0060
0.5053 0.7168 0.4940
0.4947 0.2832 0.5060
0.2166 0.0057 0.9940
0.2996 0.5206 0.8414
0.6608 0.8390 0.7500
0.9792 0.2003 0.6586
0.0208 0.7997 0.3414
0.3392 0.1610 0.2500
0.7004 0.4794 0.1586
```

This record from Alexandria describes an optimized crystal structure of BePd3. The functional is PBE-GGA.

Results
The calculation puts the total energy at -4.99 eV per atom. The space-group type is I4/mmm, No. 139.

```
BePd3
1.0
3.8538 0.0000 0.0000
0.0000 3.8538 0.0000
-1.9269 -1.9269 3.7559
Be Pd
1 3
direct
0.0000 0.0000 0.0000
0.7500 0.2500 0.5000
0.2500 0.7500 0.5000
0.5000 0.5000 0.0000
```

This record from Alexandria describes an optimized crystal structure of BePd4. The functional is PBE-GGA.

Results
The calculation puts the total energy at -5.09 eV per atom. The space-group type is Cmme, No. 67.

```
BePd4
1.0
-0.7598 0.4934 -3.8252
0.0910 -5.0025 1.3536
-7.5118 0.2768 1.5278
Be Pd
2 8
direct
0.2500 0.0000 0.8766
0.7500 0.0000 0.1234
0.8902 0.2806 0.3791
0.6064 0.7131 0.8705
0.3936 0.2869 0.1295
0.1098 0.7194 0.6209
0.8936 0.2869 0.8705
0.3902 0.2806 0.6209
0.6098 0.7194 0.3791
0.1064 0.7131 0.1295
```

This record from Alexandria describes an optimized crystal structure of Be5Pd. The functional is PBE-GGA.

Results
The calculation puts the total energy at -4.30 eV per atom. The space-group type is F-43m, No. 216.

```
Be5Pd
1.0
4.2372 0.0000 0.0000
2.1186 3.6696 0.0000
2.1186 1.2232 3.4597
Be Pd
5 1
direct
0.2500 0.2500 0.2500
0.6246 0.6246 0.6246
0.1261 0.6246 0.6246
0.6246 0.1261 0.6246
0.6246 0.6246 0.1261
0.0000 0.0000 0.0000
```

This record from Alexandria describes an optimized crystal structure of BePd3. The functional is PBE-GGA.

Results
The calculation puts the total energy at -5.16 eV per atom. The space-group type is P2_1/m, No. 11.

```
BePd3
1.0
2.8356 0.0000 0.0000
0.0000 5.4980 -0.3949
0.0000 -0.0496 6.9867
Be Pd
2 6
direct
0.7500 0.8677 0.6859
0.2500 0.1323 0.3141
0.7500 0.8815 0.1335
0.2500 0.1185 0.8665
0.7500 0.3968 0.1632
0.2500 0.6032 0.8368
0.7500 0.2815 0.5558
0.2500 0.7185 0.4442
```

Table of formation energy from the elements (eV/atom), in record order: 0.042, -0.091, 0.236, 0.200, 0.032, -0.331, 0.791, -0.431, -0.164, -0.188, -0.325, -0.336
Table of V (Å³ per atom), in record order: 19.35, 20.42, 21.18, 21.61, 14.91, 13.62, 14.61, 12.43, 13.95, 14.47, 8.97, 13.61